(a)
# Li2NpF8, optimized geometry, DFT PBE-GGA
data_Li2NpF8
_space_group_name_H-M_alt 'P -1'
_space_group_IT_number 2
_cell_length_a 4.606
_cell_length_b 5.739
_cell_length_c 5.814
_cell_angle_alpha 75.11
_cell_angle_beta 86.61
_cell_angle_gamma 86.57
loop_
_space_group_symop_operation_xyz
'x,y,z'
'-x,-y,-z'
loop_
_atom_site_label
_atom_site_type_symbol
_atom_site_fract_x
_atom_site_fract_y
_atom_site_fract_z
_atom_site_occupancy
Li1 Li 0.180 0.100 0.098 1
Np1 Np 0.500 0.500 0.500 1
F1 F 0.235 0.890 0.900 1
F2 F 0.247 0.330 0.326 1
F3 F 0.250 0.394 0.801 1
F4 F 0.252 0.808 0.399 1
# - Size of the total moment: 0.935 μB/cell
# - Mass density: 4.5 g/cm³

***

(b)
# Li2NpF8, optimized geometry, DFT PBE-GGA
data_Li2NpF8
_space_group_name_H-M_alt 'C 1 2/m 1'
_space_group_IT_number 12
_cell_length_a 5.650
_cell_length_b 9.241
_cell_length_c 4.863
_cell_angle_alpha 90.00
_cell_angle_beta 92.34
_cell_angle_gamma 90.00
loop_
_space_group_symop_operation_xyz
'x,y,z'
'-x,-y,-z'
'-x,y,-z'
'x,-y,z'
'x+1/2,y+1/2,z'
'-x+1/2,-y+1/2,-z'
'-x+1/2,y+1/2,-z'
'x+1/2,-y+1/2,z'
loop_
_atom_site_label
_atom_site_type_symbol
_atom_site_fract_x
_atom_site_fract_y
_atom_site_fract_z
_atom_site_occupancy
Li1 Li 0.000 0.212 0.000 1
Np1 Np 0.000 0.500 0.500 1
F1 F 0.000 0.277 0.500 1
F2 F 0.187 0.000 0.669 1
F3 F 0.203 0.375 0.859 1
# - Size of the total moment: 1.872 μB/cell
# - Mass density: 5.3 g/cm³

***

(a) is preferred energetically. Next in line: 0.099 eV/atom higher.